Material: Li5Ge2
Method: DFT, PBE
State: optimized geometry

## Properties
Calculated volume   227.3 Å³/cell
Total energy   -40.94 eV per cell

Structure (CIF):
```
data_Li5Ge2
_chemical_formula_sum 'Li10 Ge4'
_cell_length_a 7.292
_cell_length_b 7.292
_cell_length_c 7.292
_cell_angle_alpha 118.19
_cell_angle_beta 78.39
_cell_angle_gamma 136.79
_space_group_name_H-M_alt 'P 1'
_space_group_IT_number 1
loop_
_space_group_symop_operation_xyz
'x,y,z'
loop_
_atom_site_label
_atom_site_type_symbol
_atom_site_fract_x
_atom_site_fract_y
_atom_site_fract_z
Li1 Li 0.020 0.250 0.770
Li2 Li 0.089 0.643 0.732
Li3 Li 0.250 0.250 0.000
Li4 Li 0.411 0.143 0.554
Li5 Li 0.480 0.250 0.230
Li6 Li 0.520 0.750 0.770
Li7 Li 0.589 0.857 0.446
Li8 Li 0.750 0.750 0.000
Li9 Li 0.911 0.357 0.268
Li10 Li 0.980 0.750 0.230
Ge1 Ge 0.142 0.264 0.407
Ge2 Ge 0.358 0.764 0.122
Ge3 Ge 0.642 0.236 0.878
Ge4 Ge 0.858 0.736 0.593
```